A plane-wave DFT calculation with PBE was carried out for an optimized crystal structure of ScReSeN2.

The structure belongs to space group P4/mmm (No. 123); the cell edges are 4.069, 4.069 and 5.308 Å and the angles 90.00°, 90.00° and 90.00°. The inequivalent atoms are Sc at (0.000, 0.000, 0.000), Re at (0.500, 0.500, 0.500), Se at (0.000, 0.000, 0.500) and N at (0.000, 0.500, 0.000).

Its crystal system is tetragonal. As for the final energy: -0.475 Ry/atom. The value obtained for the raw formation energy is 1.327 eV/atom.

***

A plane-wave DFT calculation with PBE was carried out for an optimized crystal structure of ScVReN2.

The structure belongs to space group P4/mmm (No. 123); the cell edges are 3.916, 3.916 and 4.864 Å and the angles 90.00°, 90.00° and 90.00°. The inequivalent atoms are Sc at (0.000, 0.000, 0.000), V at (0.500, 0.500, 0.000), Re at (0.500, 0.500, 0.500) and N at (0.000, 0.500, 0.500).

Its crystal system is tetragonal. As for the final energy: -0.609 Ry/atom. The value obtained for the raw formation energy is 0.622 eV/atom.

***

A plane-wave DFT calculation with PBE was carried out for an optimized crystal structure of ReSe3N.

The structure belongs to space group Pm-3m (No. 221); the cell edges are 4.909, 4.909 and 4.909 Å and the angles 90.00°, 90.00° and 90.00°. The inequivalent atoms are Re at (0.000, 0.000, 0.000), Se at (0.000, 0.000, 0.500) and N at (0.500, 0.500, 0.500).

Its crystal system is cubic. As for the final energy: -0.355 Ry/atom. The value obtained for the raw formation energy is 1.414 eV/atom.

***

A plane-wave DFT calculation with PBE was carried out for an optimized crystal structure of Re2Se2N.

The structure belongs to space group P4/mbm (No. 127); the cell edges are 5.522, 5.522 and 5.149 Å and the angles 90.00°, 90.00° and 90.00°. The inequivalent atoms are Re at (0.181, 0.319, 0.000), Se at (0.166, 0.334, 0.500) and N at (0.000, 0.000, 0.000).

Its crystal system is tetragonal. As for the final energy: -0.564 Ry/atom. The value obtained for the raw formation energy is 0.369 eV/atom.

***

A plane-wave DFT calculation with PBE was carried out for an optimized crystal structure of ReSeN.

The structure belongs to space group C2/m (No. 12); the cell edges are 13.436, 3.282 and 5.645 Å and the angles 90.00°, 110.05° and 90.00°. The inequivalent atoms are Re at (0.233, 0.000, 0.303), Se at (0.137, 0.000, 0.821) and N at (0.158, 0.500, 0.322).

Its crystal system is monoclinic. As for the final energy: -0.586 Ry/atom. The value obtained for the raw formation energy is 0.112 eV/atom.

***

A plane-wave DFT calculation with PBE was carried out for an optimized crystal structure of ReSe3N.

The structure belongs to space group Pm-3m (No. 221); the cell edges are 4.267, 4.267 and 4.267 Å and the angles 90.00°, 90.00° and 90.00°. The inequivalent atoms are Re at (0.000, 0.000, 0.000), Se at (0.000, 0.500, 0.500) and N at (0.500, 0.500, 0.500).

Its crystal system is cubic. As for the final energy: -0.358 Ry/atom. The value obtained for the raw formation energy is 1.378 eV/atom.

***

A plane-wave DFT calculation with PBE was carried out for an optimized crystal structure of Re2Se2N.

The structure belongs to space group I4/mmm (No. 139); the cell edges are 5.143, 5.143 and 6.830 Å and the angles 90.00°, 90.00° and 90.00°. The inequivalent atoms are Re at (0.000, 0.000, 0.237), Se at (0.000, 0.500, 0.250) and N at (0.000, 0.000, 0.500).

Its crystal system is tetragonal. As for the final energy: -0.537 Ry/atom. The value obtained for the raw formation energy is 0.726 eV/atom.

***

A plane-wave DFT calculation with PBE was carried out for an optimized crystal structure of ReSiSe2N.

The structure belongs to space group P4/mmm (No. 123); the cell edges are 5.010, 5.010 and 3.218 Å and the angles 90.00°, 90.00° and 90.00°. The inequivalent atoms are Re at (0.000, 0.000, 0.000), Si at (0.500, 0.500, 0.500), Se at (0.000, 0.500, 0.500) and N at (0.500, 0.500, 0.000).

Its crystal system is tetragonal. As for the final energy: -0.426 Ry/atom. The value obtained for the raw formation energy is 0.830 eV/atom.

***

A plane-wave DFT calculation with PBE was carried out for an optimized crystal structure of ReSiSe2N.

The structure belongs to space group P4/mmm (No. 123); the cell edges are 5.069, 5.069 and 3.722 Å and the angles 90.00°, 90.00° and 90.00°. The inequivalent atoms are Re at (0.000, 0.000, 0.000), Si at (0.500, 0.500, 0.500), Se at (0.000, 0.500, 0.000) and N at (0.000, 0.000, 0.500).

Its crystal system is tetragonal. As for the final energy: -0.450 Ry/atom. The value obtained for the raw formation energy is 0.512 eV/atom.

***

A plane-wave DFT calculation with PBE was carried out for an optimized crystal structure of ReSnSe2N.

The structure belongs to space group P4/mmm (No. 123); the cell edges are 5.337, 5.337 and 3.901 Å and the angles 90.00°, 90.00° and 90.00°. The inequivalent atoms are Re at (0.000, 0.000, 0.000), Sn at (0.500, 0.500, 0.500), Se at (0.000, 0.500, 0.500) and N at (0.500, 0.500, 0.000).

Its crystal system is tetragonal. As for the final energy: -0.347 Ry/atom. The value obtained for the raw formation energy is 1.623 eV/atom.

***

A plane-wave DFT calculation with PBE was carried out for an optimized crystal structure of ReSnSeN2.

The structure belongs to space group P4/mmm (No. 123); the cell edges are 3.948, 3.948 and 5.401 Å and the angles 90.00°, 90.00° and 90.00°. The inequivalent atoms are Re at (0.000, 0.000, 0.000), Sn at (0.500, 0.500, 0.500), Se at (0.000, 0.000, 0.500) and N at (0.000, 0.500, 0.000).

Its crystal system is tetragonal. As for the final energy: -0.508 Ry/atom. The value obtained for the raw formation energy is 0.401 eV/atom.

***

A plane-wave DFT calculation with PBE was carried out for an optimized crystal structure of ReSnSeN2.

The structure belongs to space group P4/mmm (No. 123); the cell edges are 4.032, 4.032 and 5.725 Å and the angles 90.00°, 90.00° and 90.00°. The inequivalent atoms are Re at (0.000, 0.000, 0.000), Sn at (0.500, 0.500, 0.500), Se at (0.500, 0.500, 0.000) and N at (0.000, 0.500, 0.500).

Its crystal system is tetragonal. As for the final energy: -0.393 Ry/atom. The value obtained for the raw formation energy is 1.976 eV/atom.

***

A plane-wave DFT calculation with PBE was carried out for an optimized crystal structure of ReSnSe2N.

The structure belongs to space group P4/mmm (No. 123); the cell edges are 5.173, 5.173 and 3.765 Å and the angles 90.00°, 90.00° and 90.00°. The inequivalent atoms are Re at (0.000, 0.000, 0.000), Sn at (0.500, 0.500, 0.500), Se at (0.000, 0.500, 0.000) and N at (0.000, 0.000, 0.500).

Its crystal system is tetragonal. As for the final energy: -0.456 Ry/atom. The value obtained for the raw formation energy is 0.142 eV/atom.

***

A plane-wave DFT calculation with PBE was carried out for an optimized crystal structure of TaReSeN2.

The structure belongs to space group P4/mmm (No. 123); the cell edges are 3.981, 3.981 and 5.455 Å and the angles 90.00°, 90.00° and 90.00°. The inequivalent atoms are Ta at (0.000, 0.000, 0.000), Re at (0.500, 0.500, 0.500), Se at (0.000, 0.000, 0.500) and N at (0.000, 0.500, 0.000).

Its crystal system is tetragonal. As for the final energy: -0.581 Ry/atom. The value obtained for the raw formation energy is 0.976 eV/atom.